[1]
VASP calculation (PBE) on a relaxed structure of Tb2Sm5Ho12.

Lattice parameters (Å, degrees): 6.1562 10.6522 12.8000 133.78 94.65 84.50
With the nearest neighbours (Å) after each atom.
Atoms (fractional coordinates):
Tb (0.5796, 0.8434, 0.8170)  1 Tb 3.54, 9 Ho 3.54-3.56, 2 Sm 3.57
Tb (0.4204, 0.1566, 0.1830)  1 Tb 3.54, 9 Ho 3.54-3.56, 2 Sm 3.57
Sm (0.2630, 0.4739, 0.5528)  2 Sm 3.55, 8 Ho 3.55-3.56, 2 Tb 3.57
Sm (0.1584, 0.6846, 0.1317)  10 Ho 3.55-3.57, 2 Sm 3.56
Sm (0.0000, 0.0000, 0.5000)  10 Ho 3.55-3.56, 2 Sm 3.56
Sm (0.8416, 0.3154, 0.8683)  10 Ho 3.55-3.57, 2 Sm 3.56
Sm (0.7370, 0.5261, 0.4472)  2 Sm 3.55, 8 Ho 3.55-3.56, 2 Tb 3.57
Ho (0.9467, 0.1045, 0.2883)  6 Ho 3.54-3.58, 2 Tb 3.55, 4 Sm 3.55-3.56
Ho (0.1045, 0.7903, 0.9214)  7 Ho 3.54-3.57, 3 Tb 3.54-3.56, 2 Sm 3.55-3.56
Ho (0.6312, 0.7376, 0.0264)  2 Tb 3.54, 7 Ho 3.54-3.56, 3 Sm 3.55-3.57
Ho (0.2109, 0.5783, 0.3413)  5 Sm 3.55-3.56, 6 Ho 3.55-3.58, 1 Tb 3.56
Ho (0.6836, 0.6317, 0.2367)  5 Sm 3.55-3.56, 7 Ho 3.55-3.57
Ho (0.5258, 0.9476, 0.6055)  4 Sm 3.55-3.56, 7 Ho 3.55-3.56, 1 Tb 3.55
Ho (0.4742, 0.0524, 0.3945)  4 Sm 3.55-3.56, 7 Ho 3.55-3.56, 1 Tb 3.55
Ho (0.7891, 0.4217, 0.6587)  5 Sm 3.55-3.56, 6 Ho 3.55-3.58, 1 Tb 3.56
Ho (0.3164, 0.3683, 0.7633)  5 Sm 3.55-3.56, 7 Ho 3.55-3.57
Ho (0.8955, 0.2097, 0.0786)  7 Ho 3.54-3.57, 3 Tb 3.54-3.56, 2 Sm 3.55-3.56
Ho (0.3688, 0.2624, 0.9736)  2 Tb 3.54, 7 Ho 3.54-3.56, 3 Sm 3.55-3.57
Ho (0.0533, 0.8955, 0.7117)  6 Ho 3.54-3.58, 2 Tb 3.55, 4 Sm 3.55-3.56

Calculated values
spin magnetization	0.00	μB per atom
E above lowest polymorph	0.00	eV per formula unit



[2]
VASP calculation (PBE) on a relaxed structure of Tb6SmHo.

Lattice parameters (Å, degrees): 5.0412 5.0412 10.0783 90.00 90.00 90.00
With the nearest neighbours (Å) after each atom.
Atoms (fractional coordinates):
Tb (0.5000, 0.5000, 0.0000)  4 Sm 3.56, 8 Tb 3.58
Tb (0.5000, 0.5000, 0.5000)  8 Tb 3.55, 4 Ho 3.56
Tb (0.5000, 0.0000, 0.2517)  8 Tb 3.55-3.58, 2 Ho 3.55, 2 Sm 3.58
Tb (0.5000, 0.0000, 0.7483)  8 Tb 3.55-3.58, 2 Ho 3.55, 2 Sm 3.58
Tb (0.0000, 0.5000, 0.2517)  8 Tb 3.55-3.58, 2 Ho 3.55, 2 Sm 3.58
Tb (0.0000, 0.5000, 0.7483)  8 Tb 3.55-3.58, 2 Ho 3.55, 2 Sm 3.58
Sm (0.0000, 0.0000, 0.0000)  12 Tb 3.56-3.58
Ho (0.0000, 0.0000, 0.5000)  12 Tb 3.55-3.56

Calculated values
spin magnetization	0.00	μB per atom
E above lowest polymorph	0.00	eV per formula unit



[3]
VASP calculation (PBE) on a relaxed structure of Tb6SmHo5.

Lattice parameters (Å, degrees): 6.1491 6.1453 11.7644 85.03 80.02 59.98
With the nearest neighbours (Å) after each atom.
Atoms (fractional coordinates):
Tb (0.5831, 0.3338, 0.2511)  5 Ho 3.54-3.56, 6 Tb 3.54-3.55, 1 Sm 3.56
Tb (0.0832, 0.3338, 0.7489)  5 Ho 3.54-3.56, 6 Tb 3.54-3.55, 1 Sm 3.56
Tb (0.7494, 0.0000, 0.7491)  5 Ho 3.53-3.56, 6 Tb 3.54-3.55, 1 Sm 3.56
Tb (0.2506, 0.0000, 0.2509)  5 Ho 3.53-3.56, 6 Tb 3.54-3.55, 1 Sm 3.56
Tb (0.9168, 0.6662, 0.2511)  5 Ho 3.54-3.56, 6 Tb 3.54-3.55, 1 Sm 3.56
Tb (0.4169, 0.6662, 0.7489)  5 Ho 3.54-3.56, 6 Tb 3.54-3.55, 1 Sm 3.56
Ho (0.1669, 0.6663, 0.5000)  6 Tb 3.54, 6 Ho 3.55
Ho (0.3333, 0.3334, 0.0000)  3 Sm 3.55, 3 Ho 3.55, 6 Tb 3.56
Ho (0.5000, 0.0000, 0.5000)  6 Tb 3.53-3.54, 6 Ho 3.55
Ho (0.6667, 0.6666, 0.0000)  3 Sm 3.55, 3 Ho 3.55, 6 Tb 3.56
Ho (0.8331, 0.3337, 0.5000)  6 Tb 3.54, 6 Ho 3.55
Sm (0.0000, 0.0000, 0.0000)  6 Ho 3.55, 6 Tb 3.56

Calculated values
spin magnetization	0.00	μB per atom
final energy	-55.204	eV per cell



[4]
VASP calculation (PBE) on a relaxed structure of Tb6SmHo4.

Lattice parameters (Å, degrees): 5.7304 5.5888 25.6018 90.00 90.00 120.84
With the nearest neighbours (Å) after each atom.
Atoms (fractional coordinates):
Tb (0.5000, 0.0000, 0.0000)  8 Ho 3.13-3.51
Tb (0.5000, 0.0000, 0.5000)  8 Ho 3.13-3.51
Tb (0.1326, 0.2651, 0.3189)  4 Ho 3.50-3.64, 7 Tb 3.53-3.86, 3 Sm 3.63-3.74
Tb (0.8674, 0.7349, 0.6811)  4 Ho 3.50-3.64, 7 Tb 3.53-3.86, 3 Sm 3.63-3.74
Tb (0.8674, 0.7349, 0.8189)  4 Ho 3.50-3.64, 7 Tb 3.53-3.86, 3 Sm 3.63-3.74
Tb (0.1326, 0.2651, 0.1811)  4 Ho 3.50-3.64, 7 Tb 3.53-3.86, 3 Sm 3.63-3.74
Tb (0.8022, 0.6043, 0.3976)  5 Ho 3.28-3.55
Tb (0.1978, 0.3957, 0.6024)  5 Ho 3.28-3.55
Tb (0.1978, 0.3957, 0.8976)  5 Ho 3.28-3.55
Tb (0.8022, 0.6043, 0.1024)  5 Ho 3.28-3.55
Tb (0.4667, 0.9335, 0.2500)  3 Sm 3.22-3.27, 2 Ho 3.29
Tb (0.5333, 0.0665, 0.7500)  3 Sm 3.22-3.27, 2 Ho 3.29
Sm (0.8019, 0.6039, 0.2500)  3 Tb 3.22-3.27
Sm (0.1981, 0.3961, 0.7500)  3 Tb 3.22-3.27
Ho (0.8472, 0.6943, 0.5427)  8 Tb 3.40-3.74, 2 Ho 3.58-3.66
Ho (0.4613, 0.9225, 0.1215)  6 Tb 3.13-3.50
Ho (0.1528, 0.3057, 0.4573)  8 Tb 3.40-3.74, 2 Ho 3.58-3.66
Ho (0.5387, 0.0775, 0.8785)  6 Tb 3.13-3.50
Ho (0.8472, 0.6943, 0.9573)  8 Tb 3.40-3.74, 2 Ho 3.58-3.66
Ho (0.1528, 0.3057, 0.0427)  8 Tb 3.40-3.74, 2 Ho 3.58-3.66
Ho (0.5387, 0.0775, 0.6215)  6 Tb 3.13-3.50
Ho (0.4613, 0.9225, 0.3785)  6 Tb 3.13-3.50

Calculated values
spin magnetization	0.00	μB per atom
E above lowest polymorph	0.00	eV per formula unit



[5]
VASP calculation (PBE) on a relaxed structure of TbSm12Ho7.

Lattice parameters (Å, degrees): 8.7774 8.7774 8.7774 94.46 94.46 94.46
With the nearest neighbours (Å) after each atom.
Atoms (fractional coordinates):
Tb (0.0000, 0.0000, 0.0000)  6 Ho 3.06
Sm (0.8141, 0.2494, 0.6814)  3 Ho 3.36-3.61, 3 Sm 3.39-3.68
Sm (0.7506, 0.3186, 0.1859)  3 Ho 3.36-3.61, 3 Sm 3.39-3.68
Sm (0.4745, 0.1450, 0.4103)  2 Ho 3.11-3.14, 2 Sm 3.14-3.39
Sm (0.8550, 0.5897, 0.5255)  2 Ho 3.11-3.14, 2 Sm 3.14-3.39
Sm (0.3186, 0.1859, 0.7506)  3 Ho 3.36-3.61, 3 Sm 3.39-3.68
Sm (0.5897, 0.5255, 0.8550)  2 Ho 3.11-3.14, 2 Sm 3.14-3.39
Sm (0.4103, 0.4745, 0.1450)  2 Ho 3.11-3.14, 2 Sm 3.14-3.39
Sm (0.6814, 0.8141, 0.2494)  3 Ho 3.36-3.61, 3 Sm 3.39-3.68
Sm (0.1450, 0.4103, 0.4745)  2 Ho 3.11-3.14, 2 Sm 3.14-3.39
Sm (0.5255, 0.8550, 0.5897)  2 Ho 3.11-3.14, 2 Sm 3.14-3.39
Sm (0.2494, 0.6814, 0.8141)  3 Ho 3.36-3.61, 3 Sm 3.39-3.68
Sm (0.1859, 0.7506, 0.3186)  3 Ho 3.36-3.61, 3 Sm 3.39-3.68
Ho (0.9195, 0.6528, 0.9841)  1 Tb 3.06, 2 Sm 3.11-3.36, 1 Ho 3.15
Ho (0.3472, 0.0159, 0.0805)  1 Tb 3.06, 2 Sm 3.11-3.36, 1 Ho 3.15
Ho (0.0159, 0.0805, 0.3472)  1 Tb 3.06, 2 Sm 3.11-3.36, 1 Ho 3.15
Ho (0.5000, 0.5000, 0.5000)  6 Sm 3.14
Ho (0.9841, 0.9195, 0.6528)  1 Tb 3.06, 2 Sm 3.11-3.36, 1 Ho 3.15
Ho (0.6528, 0.9841, 0.9195)  1 Tb 3.06, 2 Sm 3.11-3.36, 1 Ho 3.15
Ho (0.0805, 0.3472, 0.0159)  1 Tb 3.06, 2 Sm 3.11-3.36, 1 Ho 3.15

Calculated values
spin magnetization	0.00	μB per atom
E above lowest polymorph	0.53	eV per formula unit



[6]
VASP calculation (PBE) on a relaxed structure of Tb7Sm2Ho2.

Lattice parameters (Å, degrees): 8.4204 6.6482 6.6482 88.34 80.84 80.84
With the nearest neighbours (Å) after each atom.
Atoms (fractional coordinates):
Tb (0.1877, 0.0983, 0.5017)  3 Sm 3.35-3.40, 5 Tb 3.35-3.74, 2 Ho 3.43-3.73
Tb (0.8123, 0.4983, 0.9017)  3 Sm 3.35-3.40, 5 Tb 3.35-3.74, 2 Ho 3.43-3.73
Tb (0.8123, 0.9017, 0.4983)  3 Sm 3.35-3.40, 5 Tb 3.35-3.74, 2 Ho 3.43-3.73
Tb (0.1877, 0.5017, 0.0983)  3 Sm 3.35-3.40, 5 Tb 3.35-3.74, 2 Ho 3.43-3.73
Tb (0.0000, 0.0000, 0.0000)  4 Tb 3.53, 2 Sm 3.71
Tb (0.4837, 0.6913, 0.6913)  1 Sm 3.12, 2 Tb 3.35, 4 Ho 3.43-3.44
Tb (0.5163, 0.3087, 0.3087)  1 Sm 3.12, 2 Tb 3.35, 4 Ho 3.43-3.44
Sm (0.8517, 0.3967, 0.3967)  7 Tb 3.12-3.40
Sm (0.1483, 0.6033, 0.6033)  7 Tb 3.12-3.40
Ho (0.5000, 0.1851, 0.8149)  8 Tb 3.43-3.73, 1 Ho 3.43
Ho (0.5000, 0.8149, 0.1851)  8 Tb 3.43-3.73, 1 Ho 3.43

Calculated values
spin magnetization	0.00	μB per atom
E above lowest polymorph	1.09	eV per formula unit



[7]
VASP calculation (PBE) on a relaxed structure of Tb5Sm3Ho3.

Lattice parameters (Å, degrees): 5.5817 9.6887 9.6887 120.00 90.00 90.00
With the nearest neighbours (Å) after each atom.
Atoms (fractional coordinates):
Tb (0.5000, 0.3333, 0.6667)  3 Ho 3.09
Tb (0.5000, 0.6667, 0.3333)  3 Ho 3.09
Tb (0.5000, 0.2810, 0.2810)  3 Ho 3.20-3.44, 2 Sm 3.24, 2 Tb 3.51
Tb (0.5000, 0.0000, 0.7190)  3 Ho 3.20-3.44, 2 Sm 3.24, 2 Tb 3.51
Tb (0.5000, 0.7190, 0.0000)  3 Ho 3.20-3.44, 2 Sm 3.24, 2 Tb 3.51
Sm (0.0000, 0.4499, 0.4499)  2 Tb 3.24, 2 Ho 3.32
Sm (0.0000, 0.5501, 0.0000)  2 Tb 3.24, 2 Ho 3.32
Sm (0.0000, 0.0000, 0.5501)  2 Tb 3.24, 2 Ho 3.32
Ho (0.5000, 0.6362, 0.6362)  5 Tb 3.09-3.44, 2 Sm 3.32
Ho (0.5000, 0.0000, 0.3638)  5 Tb 3.09-3.44, 2 Sm 3.32
Ho (0.5000, 0.3638, 0.0000)  5 Tb 3.09-3.44, 2 Sm 3.32

Calculated values
spin magnetization	0.00	μB per atom
final energy	-42.396	eV per cell



[8]
VASP calculation (PBE) on a relaxed structure of Tb7Sm3Ho.

Lattice parameters (Å, degrees): 5.5531 10.0502 8.9125 106.18 128.52 90.00
With the nearest neighbours (Å) after each atom.
Atoms (fractional coordinates):
Tb (0.9102, 0.8292, 0.9100)  3 Tb 3.21-3.31, 1 Ho 3.52, 5 Sm 3.55-3.58
Tb (0.8559, 0.7102, 0.3560)  3 Tb 3.27-3.57, 2 Sm 3.35-3.36
Tb (0.6840, 0.3621, 0.1841)  5 Tb 3.27-3.57, 2 Ho 3.51, 2 Sm 3.54
Tb (0.3160, 0.6379, 0.8159)  5 Tb 3.27-3.57, 2 Ho 3.51, 2 Sm 3.54
Tb (0.5000, 0.0000, 0.5000)  4 Sm 3.40
Tb (0.1441, 0.2898, 0.6440)  3 Tb 3.27-3.57, 2 Sm 3.35-3.36
Tb (0.0898, 0.1708, 0.0900)  3 Tb 3.21-3.31, 1 Ho 3.52, 5 Sm 3.55-3.58
Sm (0.2825, 0.0018, 0.7828)  1 Sm 3.04, 4 Tb 3.35-3.40
Sm (0.0000, 0.5000, 0.0000)  2 Ho 3.49, 10 Tb 3.54-3.82
Sm (0.7175, 0.9982, 0.2172)  1 Sm 3.04, 4 Tb 3.35-3.40
Ho (0.5000, 0.5000, 0.5000)  2 Sm 3.49, 10 Tb 3.51-3.83

Calculated values
spin magnetization	0.00	μB per atom
E above lowest polymorph	0.00	eV per formula unit



[9]
VASP calculation (PBE) on a relaxed structure of Tb2SmHo.

Lattice parameters (Å, degrees): 3.5671 3.5671 11.8165 81.32 81.32 60.00
With the nearest neighbours (Å) after each atom.
Atoms (fractional coordinates):
Tb (0.7490, 0.7490, 0.7529)  3 Ho 3.54, 6 Tb 3.57, 3 Sm 3.59
Tb (0.2510, 0.2510, 0.2471)  3 Ho 3.54, 6 Tb 3.57, 3 Sm 3.59
Ho (0.0000, 0.0000, 0.0000)  6 Tb 3.54, 6 Ho 3.57
Sm (0.5000, 0.5000, 0.5000)  6 Sm 3.57, 6 Tb 3.59

Calculated values
spin magnetization	0.00	μB per atom
E above lowest polymorph	0.01	eV per formula unit



[10]
VASP calculation (PBE) on a relaxed structure of TbSm2Ho4.

Lattice parameters (Å, degrees): 6.0660 6.5910 11.6451 90.00 105.39 90.00
With the nearest neighbours (Å) after each atom.
Atoms (fractional coordinates):
Tb (0.1664, 0.7500, 0.1407)  2 Sm 3.33-3.43, 6 Ho 3.35-3.45
Tb (0.8336, 0.2500, 0.8593)  2 Sm 3.33-3.43, 6 Ho 3.35-3.45
Sm (0.6086, 0.7500, 0.0082)  2 Tb 3.33-3.43, 3 Ho 3.40-3.64, 2 Sm 3.54
Sm (0.3914, 0.2500, 0.9918)  2 Tb 3.33-3.43, 3 Ho 3.40-3.64, 2 Sm 3.54
Sm (0.2925, 0.2500, 0.4471)  9 Ho 3.29-3.51
Sm (0.7075, 0.7500, 0.5529)  9 Ho 3.29-3.51
Ho (0.6335, 0.4948, 0.2889)  4 Ho 3.23-3.50, 1 Tb 3.35, 2 Sm 3.43-3.51
Ho (0.9850, 0.7500, 0.8374)  2 Sm 3.29-3.40, 3 Tb 3.41-3.45, 2 Ho 3.45
Ho (0.0150, 0.2500, 0.1626)  2 Sm 3.29-3.40, 3 Tb 3.41-3.45, 2 Ho 3.45
Ho (0.6335, 0.0052, 0.2889)  4 Ho 3.23-3.50, 1 Tb 3.35, 2 Sm 3.43-3.51
Ho (0.8585, 0.2500, 0.5750)  4 Sm 3.35-3.41, 1 Tb 3.35, 4 Ho 3.50-3.63
Ho (0.3665, 0.9948, 0.7111)  4 Ho 3.23-3.50, 1 Tb 3.35, 2 Sm 3.43-3.51
Ho (0.3665, 0.5052, 0.7111)  4 Ho 3.23-3.50, 1 Tb 3.35, 2 Sm 3.43-3.51
Ho (0.1415, 0.7500, 0.4250)  4 Sm 3.35-3.41, 1 Tb 3.35, 4 Ho 3.50-3.63

Calculated values
spin magnetization	0.00	μB per atom
E above lowest polymorph	0.35	eV per formula unit



What did the eighth record say?
VASP calculation (PBE) on a relaxed structure of Tb7Sm3Ho.

Lattice parameters (Å, degrees): 5.5531 10.0502 8.9125 106.18 128.52 90.00
With the nearest neighbours (Å) after each atom.
Atoms (fractional coordinates):
Tb (0.9102, 0.8292, 0.9100)  3 Tb 3.21-3.31, 1 Ho 3.52, 5 Sm 3.55-3.58
Tb (0.8559, 0.7102, 0.3560)  3 Tb 3.27-3.57, 2 Sm 3.35-3.36
Tb (0.6840, 0.3621, 0.1841)  5 Tb 3.27-3.57, 2 Ho 3.51, 2 Sm 3.54
Tb (0.3160, 0.6379, 0.8159)  5 Tb 3.27-3.57, 2 Ho 3.51, 2 Sm 3.54
Tb (0.5000, 0.0000, 0.5000)  4 Sm 3.40
Tb (0.1441, 0.2898, 0.6440)  3 Tb 3.27-3.57, 2 Sm 3.35-3.36
Tb (0.0898, 0.1708, 0.0900)  3 Tb 3.21-3.31, 1 Ho 3.52, 5 Sm 3.55-3.58
Sm (0.2825, 0.0018, 0.7828)  1 Sm 3.04, 4 Tb 3.35-3.40
Sm (0.0000, 0.5000, 0.0000)  2 Ho 3.49, 10 Tb 3.54-3.82
Sm (0.7175, 0.9982, 0.2172)  1 Sm 3.04, 4 Tb 3.35-3.40
Ho (0.5000, 0.5000, 0.5000)  2 Sm 3.49, 10 Tb 3.51-3.83

Calculated values
spin magnetization	0.00	μB per atom
E above lowest polymorph	0.00	eV per formula unit